RbNaSr2Hg PBE-GGA relaxed; energy above the most stable polymorph in this dataset = 0.0 meV per atom; DOS(E_F) = 4.0 states/eV/f.u.; energy relative to the elements = -8.7 kJ per mole of atoms
1.0
-4.168 -4.852 0.709
2.882 -1.671 5.507
-3.857 3.775 3.164
Hg Na Sr Rb
1 1 2 1
Direct
0.000 0.000 0.000 Hg
0.000 0.000 0.500 Na
0.000 0.500 0.000 Sr
0.500 0.000 0.000 Sr
0.500 0.500 0.500 Rb